Run w
Material: CeAsRh3
Method: DFT, GGA-PBE
State: optimized geometry

Cell: 4.0743 4.0750 6.1271 Å, 70.57 70.57 89.99°
Fractional coordinates of all 5 atoms:
1 Ce 0.3843 0.1877 0.9369
2 As 0.0251 0.8286 0.6551
3 Rh 0.6453 0.9487 0.4148
4 Rh 0.1452 0.4487 0.4149
5 Rh 0.8080 0.6115 0.0894

Computed properties:
Magnetic moment = 0.1 μB/f.u.
Space group = I4mm, No. 107



Run x
Material: CeAsRh3
Method: DFT, GGA-PBE
State: optimized geometry

Cell: 4.9359 7.6193 7.6193 Å, 126.08 90.00 90.00°
Fractional coordinates of all 10 atoms:
1 Ce 0.7500 0.6155 0.3845
2 Ce 0.2500 0.3845 0.6155
3 As 0.7500 0.8377 0.1623
4 As 0.2500 0.1623 0.8377
5 Rh 0.7500 0.6091 0.7647
6 Rh 0.7500 0.2353 0.3909
7 Rh 0.2500 0.7647 0.6091
8 Rh 0.2500 0.3909 0.2353
9 Rh 0.0000 0.0000 0.0000
10 Rh 0.5000 0.0000 0.0000

Computed properties:
Magnetic moment = 0.0 μB/f.u.
Space group = Cmcm, No. 63



Which of them is the least stable? Correct choice: run x.



Run w
Material: CeAs2Ru
Method: DFT, GGA-PBE
State: optimized geometry

Cell: 4.0662 4.0662 5.9367 Å, 69.97 69.97 60.00°
Fractional coordinates of all 4 atoms:
1 Ru 0.0000 0.0000 0.0000
2 As 0.2704 0.2704 0.1887
3 As 0.7296 0.7296 0.8113
4 Ce 0.5000 0.5000 0.5000

Computed properties:
Magnetic moment = 0.2 μB/f.u.
Space group = R-3m, No. 166



Run x
Material: CeAs2Ru
Method: DFT, GGA-PBE
State: optimized geometry

Cell: 4.1495 4.1495 9.8547 Å, 102.15 102.15 90.00°
Fractional coordinates of all 8 atoms:
1 Ce 0.1150 0.1150 0.2300
2 Ce 0.8850 0.8850 0.7700
3 As 0.3211 0.3211 0.6422
4 As 0.6789 0.6789 0.3578
5 As 0.5000 0.0000 0.0000
6 As 0.0000 0.5000 0.0000
7 Ru 0.7500 0.2500 0.5000
8 Ru 0.2500 0.7500 0.5000

Computed properties:
Magnetic moment = 0.6 μB/f.u.
Space group = I4/mmm, No. 139



Which of them is the least stable? Correct choice: run w.



Run w
Material: Ce2AsS
Method: DFT, GGA-PBE
State: optimized geometry

Cell: 4.0425 4.0425 7.5940 Å, 74.56 74.56 60.00°
Fractional coordinates of all 4 atoms:
1 Ce 0.0816 0.0816 0.7553
2 Ce 0.2522 0.2522 0.2433
3 As 0.6681 0.6681 0.9957
4 S 0.4981 0.4981 0.5058

Computed properties:
Magnetic moment = 2.1 μB/f.u.
Space group = R3m, No. 160



Run x
Material: Ce2AsS
Method: DFT, GGA-PBE
State: optimized geometry

Cell: 4.1313 4.1313 7.1178 Å, 73.13 73.13 60.00°
Fractional coordinates of all 4 atoms:
1 As 0.0000 0.0000 0.0000
2 S 0.5000 0.5000 0.5000
3 Ce 0.7530 0.7530 0.7409
4 Ce 0.2470 0.2470 0.2591

Computed properties:
Magnetic moment = 1.4 μB/f.u.
Space group = R-3m, No. 166



Which of them is the least stable? Correct choice: run w.



Run w
Material: Ce3AsS3
Method: DFT, GGA-PBE
State: optimized geometry

Cell: 8.6022 8.6022 8.6022 Å, 90.00 90.00 90.00°
Fractional coordinates of all 28 atoms:
1 Ce 0.6258 0.4978 0.2517
2 Ce 0.2483 0.3742 0.9978
3 Ce 0.9978 0.2483 0.3742
4 Ce 0.3742 0.9978 0.2483
5 Ce 0.7483 0.1258 0.0022
6 Ce 0.1258 0.0022 0.7483
7 Ce 0.4978 0.2517 0.6258
8 Ce 0.7517 0.8742 0.5022
9 Ce 0.5022 0.7517 0.8742
10 Ce 0.8742 0.5022 0.7517
11 Ce 0.2517 0.6258 0.4978
12 Ce 0.0022 0.7483 0.1258
13 As 0.3269 0.3269 0.3269
14 As 0.8269 0.1731 0.6731
15 As 0.6731 0.8269 0.1731
16 As 0.1731 0.6731 0.8269
17 S 0.5731 0.4269 0.9269
18 S 0.1734 0.3266 0.6734
19 S 0.9233 0.4233 0.0767
20 S 0.0731 0.0731 0.0731
21 S 0.4233 0.0767 0.9233
22 S 0.0767 0.9233 0.4233
23 S 0.6734 0.1734 0.3266
24 S 0.4269 0.9269 0.5731
25 S 0.5767 0.5767 0.5767
26 S 0.9269 0.5731 0.4269
27 S 0.3266 0.6734 0.1734
28 S 0.8266 0.8266 0.8266

Computed properties:
Magnetic moment = 3.0 μB/f.u.
Space group = P2_13, No. 198



Run x
Material: Ce3AsS3
Method: DFT, GGA-PBE
State: optimized geometry

Cell: 8.4770 8.4770 7.5637 Å, 55.92 55.92 60.00°
Fractional coordinates of all 14 atoms:
1 Ce 0.2859 0.5494 0.2341
2 Ce 0.9306 0.2859 0.2341
3 Ce 0.5494 0.9306 0.2341
4 Ce 0.4506 0.0694 0.7659
5 Ce 0.0694 0.7141 0.7659
6 Ce 0.7141 0.4506 0.7659
7 As 0.3350 0.3350 0.9951
8 As 0.6650 0.6650 0.0049
9 S 0.3733 0.8043 0.7227
10 S 0.8043 0.0997 0.7227
11 S 0.0997 0.3733 0.7227
12 S 0.9003 0.6267 0.2773
13 S 0.1957 0.9003 0.2773
14 S 0.6267 0.1957 0.2773

Computed properties:
Magnetic moment = 2.9 μB/f.u.
Space group = R-3, No. 148



Which of them is the least stable? Correct choice: run x.



Run w
Material: Ce3SbAs2
Method: DFT, GGA-PBE
State: optimized geometry

Cell: 4.7829 7.3531 10.1329 Å, 90.00 90.00 108.98°
Fractional coordinates of all 12 atoms:
1 Ce 0.6307 0.2614 0.0487
2 Ce 0.1070 0.2141 0.7500
3 Ce 0.6307 0.2614 0.4513
4 Ce 0.8930 0.7859 0.2500
5 Ce 0.3693 0.7386 0.9513
6 Ce 0.3693 0.7386 0.5487
7 Sb 0.2283 0.4566 0.2500
8 Sb 0.7717 0.5434 0.7500
9 As 0.0000 0.0000 0.0000
10 As 0.0000 0.0000 0.5000
11 As 0.4896 0.9792 0.2500
12 As 0.5104 0.0208 0.7500

Computed properties:
Magnetic moment = 3.0 μB/f.u.
Space group = Cmcm, No. 63



Run x
Material: Ce3SbAs2
Method: DFT, GGA-PBE
State: optimized geometry

Cell: 7.4840 7.4840 7.4840 Å, 146.66 131.73 59.93°
Fractional coordinates of all 6 atoms:
1 Ce 0.0000 0.0000 0.0000
2 Ce 0.6773 0.6773 0.0000
3 Ce 0.3227 0.3227 0.0000
4 Sb 0.5000 0.0000 0.5000
5 As 0.1634 0.6634 0.5000
6 As 0.8366 0.3366 0.5000

Computed properties:
Magnetic moment = 2.3 μB/f.u.
Space group = Immm, No. 71



Which of them is the least stable? Correct choice: run w.



Run w
Material: Ce2AsSe
Method: DFT, GGA-PBE
State: optimized geometry

Cell: 4.1284 4.1284 7.7312 Å, 74.51 74.51 60.00°
Fractional coordinates of all 4 atoms:
1 Ce 0.0782 0.0782 0.7655
2 Ce 0.2555 0.2555 0.2336
3 As 0.6682 0.6682 0.9955
4 Se 0.4982 0.4982 0.5054

Computed properties:
Magnetic moment = 2.1 μB/f.u.
Space group = R3m, No. 160



Run x
Material: Ce2AsSe
Method: DFT, GGA-PBE
State: optimized geometry

Cell: 4.2215 4.2215 7.2948 Å, 73.18 73.18 60.00°
Fractional coordinates of all 4 atoms:
1 As 0.0000 0.0000 0.0000
2 Se 0.5000 0.5000 0.5000
3 Ce 0.2516 0.2516 0.2451
4 Ce 0.7484 0.7484 0.7549

Computed properties:
Magnetic moment = 1.8 μB/f.u.
Space group = R-3m, No. 166



Run y
Material: Ce2AsSe
Method: DFT, GGA-PBE
State: optimized geometry

Cell: 4.1773 4.1773 14.3717 Å, 90.00 90.00 120.00°
Fractional coordinates of all 8 atoms:
1 Ce 0.3333 0.6667 0.3829
2 Ce 0.6667 0.3333 0.8829
3 Ce 0.6667 0.3333 0.6171
4 Ce 0.3333 0.6667 0.1171
5 As 0.0000 0.0000 0.5000
6 As 0.0000 0.0000 0.0000
7 Se 0.6667 0.3333 0.2500
8 Se 0.3333 0.6667 0.7500

Computed properties:
Magnetic moment = 2.0 μB/f.u.
Space group = P6_3/mmc, No. 194



Which of them is the least stable? Correct choice: run w.



Run w
Material: Ce3AsSe3
Method: DFT, GGA-PBE
State: optimized geometry

Cell: 5.9065 5.9065 5.9065 Å, 90.00 90.00 90.00°
Fractional coordinates of all 7 atoms:
1 Ce 0.5000 0.0000 0.5000
2 Ce 0.5000 0.5000 0.0000
3 Ce 0.0000 0.5000 0.5000
4 As 0.5000 0.5000 0.5000
5 Se 0.0000 0.5000 0.0000
6 Se 0.0000 0.0000 0.5000
7 Se 0.5000 0.0000 0.0000

Computed properties:
Magnetic moment = 2.7 μB/f.u.
Space group = Pm-3m, No. 221



Run x
Material: Ce3AsSe3
Method: DFT, GGA-PBE
State: optimized geometry

Cell: 8.7202 8.7202 7.8185 Å, 56.11 56.11 60.00°
Fractional coordinates of all 14 atoms:
1 Ce 0.2957 0.5420 0.2282
2 Ce 0.9341 0.2957 0.2282
3 Ce 0.5420 0.9341 0.2282
4 Ce 0.4580 0.0659 0.7718
5 Ce 0.0659 0.7043 0.7718
6 Ce 0.7043 0.4580 0.7718
7 As 0.3348 0.3348 0.9956
8 As 0.6652 0.6652 0.0044
9 Se 0.3643 0.8125 0.7216
10 Se 0.8125 0.1017 0.7216
11 Se 0.1017 0.3643 0.7216
12 Se 0.8983 0.6357 0.2784
13 Se 0.1875 0.8983 0.2784
14 Se 0.6357 0.1875 0.2784

Computed properties:
Magnetic moment = 3.0 μB/f.u.
Space group = R-3, No. 148



Which of them is the least stable? Correct choice: run w.



Run w
Material: CeSmAs2
Method: DFT, GGA-PBE
State: optimized geometry

Cell: 4.2008 4.2008 13.8159 Å, 90.00 90.00 120.00°
Fractional coordinates of all 8 atoms:
1 Ce 0.0000 0.0000 0.5000
2 Ce 0.0000 0.0000 0.0000
3 Sm 0.6667 0.3333 0.2500
4 Sm 0.3333 0.6667 0.7500
5 As 0.3333 0.6667 0.3783
6 As 0.6667 0.3333 0.8783
7 As 0.6667 0.3333 0.6217
8 As 0.3333 0.6667 0.1217

Computed properties:
Magnetic moment = 0.6 μB/f.u.
Space group = P6_3/mmc, No. 194



Run x
Material: CeSmAs2
Method: DFT, GGA-PBE
State: optimized geometry

Cell: 4.2149 4.2149 7.2973 Å, 73.22 73.22 60.01°
Fractional coordinates of all 4 atoms:
1 Ce 0.5000 0.5000 0.5000
2 Sm 0.0000 0.0000 0.0000
3 As 0.7508 0.7508 0.7476
4 As 0.2492 0.2492 0.2524

Computed properties:
Magnetic moment = 0.6 μB/f.u.
Space group = R-3m, No. 166



Which of them is the least stable? Correct choice: run w.



Run w
Material: CeSnAs2
Method: DFT, GGA-PBE
State: optimized geometry

Cell: 3.8685 3.8685 9.3351 Å, 78.04 78.04 60.00°
Fractional coordinates of all 4 atoms:
1 As 0.1056 0.1056 0.6831
2 As 0.8944 0.8944 0.3169
3 Sn 0.5000 0.5000 0.5000
4 Ce 0.0000 0.0000 0.0000

Computed properties:
Magnetic moment = 1.2 μB/f.u.
Space group = R-3m, No. 166



Run x
Material: CeSnAs2
Method: DFT, GGA-PBE
State: optimized geometry

Cell: 3.9026 4.7902 4.7902 Å, 90.00 90.00 90.00°
Fractional coordinates of all 4 atoms:
1 As 0.0000 0.0000 0.5000
2 As 0.0000 0.5000 0.0000
3 Sn 0.5000 0.0000 0.0000
4 Ce 0.5000 0.5000 0.5000

Computed properties:
Magnetic moment = 0.0 μB/f.u.
Space group = P4/mmm, No. 123



Which of them is the least stable? Correct choice: run w.



Run w
Material: CeTcAs2
Method: DFT, GGA-PBE
State: optimized geometry

Cell: 2.9839 2.9839 10.1625 Å, 81.56 81.56 60.00°
Fractional coordinates of all 4 atoms:
1 As 0.0816 0.0816 0.7551
2 As 0.9184 0.9184 0.2449
3 Tc 0.0000 0.0000 0.0000
4 Ce 0.5000 0.5000 0.5000

Computed properties:
Magnetic moment = 0.0 μB/f.u.
Space group = R-3m, No. 166



Run x
Material: CeTcAs2
Method: DFT, GGA-PBE
State: optimized geometry

Cell: 4.1358 4.1358 10.0162 Å, 101.90 101.90 90.07°
Fractional coordinates of all 8 atoms:
1 Ce 0.1137 0.1137 0.2274
2 Ce 0.8863 0.8863 0.7726
3 Tc 0.2499 0.7499 0.5000
4 Tc 0.7499 0.2499 0.5000
5 As 0.3236 0.3236 0.6474
6 As 0.6762 0.6762 0.3526
7 As 0.0001 0.5001 0.0000
8 As 0.5001 0.0001 0.0000

Computed properties:
Magnetic moment = 0.5 μB/f.u.
Space group = Fmmm, No. 69



Which of them is the least stable? Correct choice: run w.



Run w
Material: Ce2TeAs
Method: DFT, GGA-PBE
State: optimized geometry

Cell: 4.3172 6.1833 8.8014 Å, 90.00 90.00 90.00°
Fractional coordinates of all 8 atoms:
1 Ce 0.0000 0.0000 0.8528
2 Ce 0.0000 0.0000 0.3909
3 Ce 0.5000 0.5000 0.6091
4 Ce 0.5000 0.5000 0.1472
5 Te 0.0000 0.5000 0.8776
6 Te 0.5000 0.0000 0.1224
7 As 0.5000 0.0000 0.6231
8 As 0.0000 0.5000 0.3769

Computed properties:
Magnetic moment = 2.0 μB/f.u.
Space group = Pmmn, No. 59



Run x
Material: Ce2TeAs
Method: DFT, GGA-PBE
State: optimized geometry

Cell: 4.2473 4.2473 7.9854 Å, 74.58 74.58 60.00°
Fractional coordinates of all 4 atoms:
1 Ce 0.0730 0.0730 0.7811
2 Ce 0.2603 0.2603 0.2191
3 Te 0.4985 0.4985 0.5045
4 As 0.6682 0.6682 0.9953

Computed properties:
Magnetic moment = 2.2 μB/f.u.
Space group = R3m, No. 160



Which of them is the least stable? Correct choice: run x.



Run w
Material: Ce5Te4As
Method: DFT, GGA-PBE
State: optimized geometry

Cell: 6.2877 7.6880 7.6880 Å, 80.37 65.86 65.86°
Fractional coordinates of all 10 atoms:
1 Ce 0.9026 0.3818 0.8150
2 Ce 0.2844 0.8150 0.6182
3 Ce 0.7176 0.1850 0.3818
4 Ce 0.0994 0.6182 0.1850
5 Ce 0.5011 0.0000 0.0000
6 Te 0.4075 0.3975 0.7896
7 Te 0.8049 0.7896 0.6025
8 Te 0.1971 0.2104 0.3975
9 Te 0.5946 0.6025 0.2104
10 As 0.0011 0.0000 0.0000

Computed properties:
Magnetic moment = 5.4 μB/f.u.
Space group = I4/m, No. 87



Run x
Material: Ce5Te4As
Method: DFT, GGA-PBE
State: optimized geometry

Cell: 4.4420 4.4420 16.0042 Å, 97.98 97.98 90.00°
Fractional coordinates of all 10 atoms:
1 Ce 0.0938 0.0938 0.1876
2 Ce 0.5000 0.5000 0.0000
3 Ce 0.9062 0.9062 0.8124
4 Ce 0.2980 0.2980 0.5960
5 Ce 0.7020 0.7020 0.4040
6 Te 0.3994 0.3994 0.7989
7 Te 0.8031 0.8031 0.6063
8 Te 0.1969 0.1969 0.3937
9 Te 0.6006 0.6006 0.2011
10 As 0.0000 0.0000 0.0000

Computed properties:
Magnetic moment = 5.5 μB/f.u.
Space group = I4/mmm, No. 139



Which of them is the least stable? Correct choice: run x.